This record from the Alexandria database describes a relaxed Sm12DyTh5 crystal. The functional is PBE-GGA.

Calculated values
* total DFT energy (no corrections): -195.4 eV for the cell shown
* energy of formation from the pure elements: 0.03 eV/atom

a b c (Å): 15.2942 15.3406 5.1055
angles (deg): 90.00 90.00 90.00
Closest atoms and distances in Å follow each position.
Space group Cmmm (No. 65)
Asymmetric unit:
Sm1 0.0000 0.1593 0.0000  4 Th 3.53-3.55, 8 Sm 3.61-3.76
Sm2 0.0000 0.3360 0.5000  2 Th 3.57, 2 Dy 3.58, 8 Sm 3.61-3.72
Sm3 0.1667 0.1599 0.5000  4 Th 3.54-3.55, 8 Sm 3.61-3.76
Sm4 0.1668 0.3391 0.0000  3 Th 3.53-3.55, 1 Dy 3.55, 8 Sm 3.61-3.76
Dy1 0.0000 0.5000 0.0000  8 Sm 3.55-3.58, 4 Th 3.60
Th1 0.0000 0.0000 0.5000  8 Sm 3.53-3.54, 4 Th 3.62
Th2 0.1657 0.5000 0.5000  8 Sm 3.55-3.57, 2 Dy 3.60, 2 Th 3.60
Th3 0.1681 0.0000 0.0000  8 Sm 3.53-3.55, 4 Th 3.60-3.62